This record from Alexandria via LeMat-Bulk describes an optimized crystal structure of Sr2YAlS5. The functional is PBE.

extended XYZ file:
```
18
Lattice="1.978 -8.874 0.000 1.978 8.874 0.000 0.000 0.000 12.478" Properties=species:S:1:pos:R:3 pbc="T T T"
Sr 1.978 6.830 6.239
Sr 1.978 6.647 1.810
Sr 1.978 -6.647 8.048
Sr 1.978 -6.830 0.000
Y 1.978 5.198 10.575
Y 1.978 -5.198 4.336
Al 1.978 1.012 3.087
Al 1.978 -1.012 9.325
S 1.978 8.105 10.560
S 1.978 3.664 6.168
S 1.978 3.211 2.410
S 1.978 2.570 10.300
S 1.978 0.035 7.381
S 1.978 -0.035 1.143
S 1.978 -2.570 4.061
S 1.978 -3.211 8.648
S 1.978 -3.664 12.406
S 1.978 -8.105 4.321
```

Values from the calculation:
M_tot: 0.000 μB/atom
E_tot: -5.661 eV per atom
Space-group type: Cmc2_1 (36)